Compound: Ce2Np2S7
Source: Alexandria via LeMat-Bulk
Functional: PBE
Structure: optimized geometry

Results
Formation energy (no corrections) = -18.089 eV/f.u.
Total DFT energy (no corrections) = -7.703 eV per atom

a b c (Å): 3.985 13.940 8.574
angles (deg): 90.00 90.00 90.00
Space group Imm2 (No. 44)
Unique sites:
Ce  0.000  0.240  0.000 x4
Np  0.000  0.000  0.749 x2
Np  0.000  0.500  0.796 x2
S  0.000  0.000  0.072 x2
S  0.000  0.108  0.472 x4
S  0.000  0.316  0.697 x4
S  0.000  0.367  0.302 x4